Density functional theory data (PBE-GGA) for CsNa3Pb after structural relaxation.

```
CsNa3Pb
1.0
-4.8139 -6.3912 1.2084
-2.4035 -2.7772 -10.1437
6.2191 -8.0381 -3.6189
Na Cs Pb
12 4 4
direct
0.4038 0.3588 0.0397
0.9038 0.0397 0.3588
0.5869 0.3253 0.3305
0.9131 0.6695 0.6747
0.0869 0.3305 0.3253
0.5962 0.6412 0.9603
0.9047 0.3512 0.0260
0.0962 0.9603 0.6412
0.5953 0.9740 0.6488
0.0953 0.6488 0.9740
0.4047 0.0260 0.3512
0.4131 0.6747 0.6695
0.2500 0.3598 0.6402
0.2500 0.9940 0.0060
0.7500 0.6402 0.3598
0.7500 0.0060 0.9940
0.7997 0.2225 0.5972
0.2997 0.5972 0.2225
0.2003 0.7775 0.4028
0.7003 0.4028 0.7775
```

The calculation puts the density of states at the Fermi level at 10.35 states/eV per cell. The value obtained for the formation enthalpy at 0 K is -0.059 eV per atom. As for the energy above the lowest structure with this stoichiometry: 33.1 meV/atom.